Material: Sc3TlO
Method: DFT, PBE
State: optimized geometry

Geometry as POSCAR:
```
Sc3TlO
1.0
3.354 0.000 0.000
0.000 6.564 0.000
0.000 0.000 9.502
Sc Tl O
6 2 2
Direct
0.000 0.000 0.000
0.000 0.500 0.500
0.500 0.240 0.253
0.500 0.260 0.753
0.500 0.740 0.753
0.500 0.760 0.253
0.000 0.000 0.503
0.000 0.500 0.003
0.500 0.000 0.870
0.500 0.500 0.370
```

Computed properties:
Crystal system: orthorhombic

=====

Material: Er2SnPd3
Method: DFT, PBE
State: optimized geometry

Geometry as POSCAR:
```
Er2SnPd3
1.0
5.662 -2.799 0.000
5.662 2.799 0.000
-3.273 0.000 7.944
Er Sn Pd
4 2 6
Direct
0.188 0.191 0.094
0.191 0.188 0.594
0.809 0.812 0.406
0.812 0.809 0.906
0.287 0.713 0.750
0.713 0.287 0.250
0.202 0.798 0.250
0.371 0.371 0.435
0.371 0.371 0.935
0.629 0.629 0.065
0.629 0.629 0.565
0.798 0.202 0.750
```

Computed properties:
E_form, eV/atom: -0.816
Crystal system: monoclinic

=====

Material: Al3InAu
Method: DFT, PBE
State: optimized geometry

Geometry as POSCAR:
```
Al3InAu
1.0
4.933 0.000 0.000
0.000 4.933 0.000
0.000 0.000 4.933
Al In Au
3 1 1
Direct
0.000 0.000 0.500
0.000 0.500 0.000
0.500 0.000 0.000
0.500 0.500 0.500
0.000 0.000 0.000
```

Computed properties:
Energy above the lowest structure with this stoichiometry, meV per atom: 0.0
E_form, eV/atom: 0.208
Crystal system: cubic

=====

Material: CeDy2NpN4
Method: DFT, PBE
State: optimized geometry

Geometry as POSCAR:
```
CeDy2NpN4
1.0
6.039 0.000 0.000
0.000 3.486 0.000
-2.010 0.000 5.715
Ce Dy Np N
1 2 1 4
Direct
0.000 0.000 0.000
0.000 0.500 0.500
0.500 0.000 0.500
0.500 0.500 0.000
0.258 0.500 0.247
0.261 0.000 0.756
0.739 0.000 0.244
0.742 0.500 0.753
```

Computed properties:
Crystal system: monoclinic

=====

| no. | VASP energy (eV per cell) |
| --- | --- |
| 1 | -65.06 |
| 2 | -67.21 |
| 3 | -16.20 |
| 4 | -73.27 |